Mg2TiSn | GGA-PBE | relaxed

abc: 4.433 4.245 4.245
angles: 90.00 90.00 90.00
Element x y z (fractional)
Ti 0.500 0.000 0.000
Mg 0.000 0.500 0.000
Mg 0.000 0.000 0.500
Sn 0.500 0.500 0.500

VASP energy, eV/atom: -3.92
Total magnetic moment, μB/f.u.: 0.000
DFT formation energy, eV/atom: -0.15